Model P:
KMgCl2 | meta-GGA SCAN | PBEsol geometry

Lattice parameters (Å, degrees): 5.241 5.241 5.241 60.00 60.00 60.00
Each line ends with the local moment (μB).
Element x y z (fractional)
Cl (0.000, 0.000, 0.000)  0.13
Cl (0.750, 0.750, 0.750)  0.03
K (0.500, 0.500, 0.500)  0.03
Mg (0.250, 0.250, 0.250)  0.21

Output
SG = F-43m, No. 216
density of states at the Fermi level = 0.51 states/eV/atom
total magnetic moment = 0.98 Bohr magnetons per cell

***

Model Q:
KMgCl2 | meta-GGA SCAN | PBEsol geometry

Lattice parameters (Å, degrees): 4.063 3.986 8.129 90.00 90.00 120.64
Each line ends with the local moment (μB).
Element x y z (fractional)
Cl (0.000, 0.000, 0.766)  0.06
Cl (0.000, 0.000, 0.234)  0.06
Mg (0.500, 0.000, 0.000)  0.12
K (0.500, 0.000, 0.500)  0.01

Output
SG = Cmmm, No. 65
density of states at the Fermi level = 0.26 states/eV/atom
total magnetic moment = 0.72 Bohr magnetons per cell

***

Which structure is the most stable? The one labeled model Q.

***

Model P:
K2MoCl | meta-GGA SCAN | PBEsol geometry

Lattice parameters (Å, degrees): 5.839 5.839 5.839 60.00 60.00 60.00
Each line ends with the local moment (μB).
Element x y z (fractional)
Mo (0.500, 0.500, 0.500)  4.21
K (0.250, 0.250, 0.250)  0.01
K (0.750, 0.750, 0.750)  0.01
Cl (0.000, 0.000, 0.000)  0.01

Output
SG = Fm-3m, No. 225
density of states at the Fermi level = 0.00 states/eV/atom
total magnetic moment = 5.00 Bohr magnetons per cell

***

Model Q:
K2MoCl | meta-GGA SCAN | PBEsol geometry

Lattice parameters (Å, degrees): 3.664 3.595 9.794 90.00 90.00 90.00
Each line ends with the local moment (μB).
Element x y z (fractional)
K (0.000, 0.500, 0.778)  0.01
K (0.000, 0.000, 0.189)  0.01
Cl (0.500, 0.500, 0.025)  0.00
Mo (0.500, 0.000, 0.508)  4.05

Output
SG = Pmm2, No. 25
density of states at the Fermi level = 0.32 states/eV/atom
total magnetic moment = 5.13 Bohr magnetons per cell

***

Which structure is the most stable? The one labeled model Q.

***

Model P:
KMoCl2 | meta-GGA SCAN | PBEsol geometry

Lattice parameters (Å, degrees): 3.989 3.989 7.052 106.43 106.43 90.00
Each line ends with the local moment (μB).
Element x y z (fractional)
K (0.500, 0.500, 0.000)  0.01
Cl (0.000, 0.000, 0.000)  0.03
Cl (0.750, 0.250, 0.500)  0.02
Mo (0.250, 0.750, 0.500)  4.22

Output
SG = I-4m2, No. 119
density of states at the Fermi level = 0.10 states/eV/atom
total magnetic moment = 5.00 Bohr magnetons per cell

***

Model Q:
KMoCl2 | meta-GGA SCAN | PBEsol geometry

Lattice parameters (Å, degrees): 4.668 4.488 6.536 100.38 90.00 121.34
Each line ends with the local moment (μB).
Element x y z (fractional)
Cl (0.705, 0.411, 0.761)  0.04
Cl (0.295, 0.589, 0.239)  0.04
Mo (0.500, 0.000, 0.000)  4.08
K (0.000, 0.000, 0.500)  0.01

Output
SG = C2/m, No. 12
total magnetic moment = 5.00 Bohr magnetons per cell

***

Which structure is the most stable? The one labeled model Q.

***

Model P:
KNa4Cl5 | meta-GGA SCAN | PBEsol geometry

Lattice parameters (Å, degrees): 4.036 7.019 9.100 75.19 77.19 73.29
Element x y z (fractional)
K (0.000, 0.000, 0.000)
Cl (0.000, 0.500, 0.500)
Cl (0.609, 0.669, 0.112)
Cl (0.205, 0.903, 0.686)
Cl (0.795, 0.097, 0.314)
Cl (0.391, 0.331, 0.888)
Na (0.597, 0.207, 0.598)
Na (0.201, 0.390, 0.208)
Na (0.403, 0.793, 0.402)
Na (0.799, 0.610, 0.792)

Output
SG = C2/m, No. 12
density of states at the Fermi level = 0.00 states/eV/atom
total magnetic moment = 0.00 Bohr magnetons per cell

***

Model Q:
KNa4Cl5 | meta-GGA SCAN | PBEsol geometry

Lattice parameters (Å, degrees): 4.091 4.091 14.577 98.07 98.07 90.00
Element x y z (fractional)
Na (0.202, 0.202, 0.404)
Na (0.396, 0.396, 0.792)
Na (0.798, 0.798, 0.596)
Na (0.604, 0.604, 0.208)
Cl (0.106, 0.106, 0.212)
Cl (0.701, 0.701, 0.403)
Cl (0.894, 0.894, 0.788)
Cl (0.299, 0.299, 0.597)
Cl (0.500, 0.500, 0.000)
K (0.000, 0.000, 0.000)

Output
SG = I4/mmm, No. 139
density of states at the Fermi level = 0.00 states/eV/atom
total magnetic moment = 0.00 Bohr magnetons per cell

***

Which structure is the most stable? The one labeled model P.

***

Model P:
KNa4Cl5 | meta-GGA SCAN | PBEsol geometry

Lattice parameters (Å, degrees): 4.013 5.804 10.772 105.63 100.74 90.00
Element x y z (fractional)
Cl (0.199, 0.699, 0.398)
Cl (0.801, 0.301, 0.602)
Cl (0.000, 0.500, 0.000)
Cl (0.389, 0.889, 0.777)
Cl (0.611, 0.111, 0.223)
Na (0.205, 0.205, 0.410)
Na (0.795, 0.795, 0.590)
Na (0.397, 0.397, 0.794)
Na (0.603, 0.603, 0.206)
K (0.000, 0.000, 0.000)

Output
SG = Immm, No. 71
density of states at the Fermi level = 0.00 states/eV/atom
total magnetic moment = 0.00 Bohr magnetons per cell

***

Model Q:
KNa4Cl5 | meta-GGA SCAN | PBEsol geometry

Lattice parameters (Å, degrees): 4.044 4.044 16.714 83.05 83.05 60.00
Element x y z (fractional)
Na (0.199, 0.199, 0.404)
Na (0.404, 0.404, 0.787)
Na (0.596, 0.596, 0.213)
Na (0.801, 0.801, 0.596)
Cl (0.103, 0.103, 0.691)
Cl (0.294, 0.294, 0.118)
Cl (0.897, 0.897, 0.309)
Cl (0.706, 0.706, 0.882)
Cl (0.500, 0.500, 0.500)
K (0.000, 0.000, 0.000)

Output
SG = R-3m, No. 166
density of states at the Fermi level = 0.00 states/eV/atom
total magnetic moment = 0.00 Bohr magnetons per cell

***

Which structure is the most stable? The one labeled model Q.

***

Model P:
K2NaCl3 | meta-GGA SCAN | PBEsol geometry

Lattice parameters (Å, degrees): 4.303 4.303 9.510 103.08 103.08 90.00
Element x y z (fractional)
K (0.666, 0.666, 0.333)
K (0.334, 0.334, 0.667)
Cl (0.500, 0.500, 0.000)
Cl (0.842, 0.842, 0.683)
Cl (0.158, 0.158, 0.317)
Na (0.000, 0.000, 0.000)

Output
SG = I4/mmm, No. 139
density of states at the Fermi level = 0.00 states/eV/atom
total magnetic moment = 0.00 Bohr magnetons per cell

***

Model Q:
K2NaCl3 | meta-GGA SCAN | PBEsol geometry

Lattice parameters (Å, degrees): 4.250 4.250 10.485 90.00 90.00 120.00
Element x y z (fractional)
K (0.667, 0.333, 0.322)
K (0.333, 0.667, 0.678)
Na (0.000, 0.000, 0.000)
Cl (0.333, 0.667, 0.144)
Cl (0.667, 0.333, 0.856)
Cl (0.000, 0.000, 0.500)

Output
SG = P-3m1, No. 164
density of states at the Fermi level = 0.00 states/eV/atom
total magnetic moment = 0.00 Bohr magnetons per cell

***

Which structure is the most stable? The one labeled model Q.

***

Model P:
KP2Cl | meta-GGA SCAN | PBEsol geometry

Lattice parameters (Å, degrees): 3.031 3.031 8.818 90.00 90.00 105.21
Element x y z (fractional)
K (0.500, 0.500, 0.000)
P (0.000, 0.000, 0.287)
P (0.000, 0.000, 0.713)
Cl (0.500, 0.500, 0.500)

Output
SG = Cmmm, No. 65
density of states at the Fermi level = 0.46 states/eV/atom
total magnetic moment = 0.00 Bohr magnetons per cell

***

Model Q:
KP2Cl | meta-GGA SCAN | PBEsol geometry

Lattice parameters (Å, degrees): 4.851 4.851 4.851 60.00 60.00 60.00
Element x y z (fractional)
P (0.750, 0.750, 0.750)
P (0.000, 0.000, 0.000)
Cl (0.500, 0.500, 0.500)
K (0.250, 0.250, 0.250)

Output
SG = F-43m, No. 216
density of states at the Fermi level = 0.40 states/eV/atom
total magnetic moment = 0.00 Bohr magnetons per cell

***

Which structure is the most stable? The one labeled model Q.

***

Model P:
KP2Cl | meta-GGA SCAN | PBEsol geometry

Lattice parameters (Å, degrees): 3.585 3.585 8.109 77.23 77.23 60.00
Element x y z (fractional)
K (0.246, 0.246, 0.263)
P (0.022, 0.022, 0.933)
P (0.738, 0.738, 0.785)
Cl (0.494, 0.494, 0.519)

Output
SG = R3m, No. 160
total magnetic moment = 0.00 Bohr magnetons per cell

***

Model Q:
KP2Cl | meta-GGA SCAN | PBEsol geometry

Lattice parameters (Å, degrees): 4.760 3.377 6.658 90.00 90.00 90.13
Element x y z (fractional)
K (0.500, 0.000, 0.500)
P (0.860, 0.758, 0.000)
P (0.140, 0.242, 0.000)
Cl (0.000, 0.500, 0.500)

Output
SG = P2/m, No. 10
density of states at the Fermi level = 0.18 states/eV/atom
total magnetic moment = 0.00 Bohr magnetons per cell

***

Which structure is the most stable? The one labeled model Q.